Here is a geometry-optimized CsMnPbF6 structure from Alexandria via LeMat-Bulk. Energies are from GGA+U.

Cell: 6.0265 5.8689 5.9243 Å, 89.48 89.51 62.40°
Closest atoms and distances in Å follow each position.
Element x y z (fractional)
Cs  0.9979  0.0060  0.9431  6 F 3.01-3.07
Mn  0.6661  0.6720  0.5162  4 F 1.88-1.93
Pb  0.3184  0.3492  0.4379  3 F 2.29-2.43
F  0.8760  0.3956  0.3270  1 Mn 1.90
F  0.4737  0.9560  0.7071  1 Mn 1.90
F  0.5785  0.4462  0.6919  1 Mn 1.93
F  0.0134  0.5474  0.7061  1 Mn 2.19, 1 Pb 2.29
F  0.3426  0.7273  0.3319  1 Mn 2.13, 1 Pb 2.37
F  0.7332  0.9002  0.3387  1 Mn 1.88

- Total moment: 4.00 μB/cell
- Calculated total energy: -5.13 eV per atom
- Space group: P1, No. 1